# YErSc2Bi2 PBE relaxed
# **Magnetization**: 2.54 Bohr magnetons per cell
data_YErSc2Bi2
_space_group_name_H-M_alt 'I 4 m m'
_space_group_IT_number 107
_space_group_name_Hall 'I 4 -2'
_cell_length_a 4.3953
_cell_length_b 4.3953
_cell_length_c 16.5458
_cell_angle_alpha 90.00
_cell_angle_beta 90.00
_cell_angle_gamma 90.00
loop_
_atom_site_label
_atom_site_type_symbol
_atom_site_fract_x
_atom_site_fract_y
_atom_site_fract_z
_atom_site_occupancy
Y1 Y 0.0000 0.0000 0.0000 1
Er1 Er 0.0000 0.0000 0.3525 1
Sc1 Sc 0.0000 0.5000 0.1771 1
Bi1 Bi 0.0000 0.0000 0.5449 1
Bi2 Bi 0.0000 0.0000 0.8086 1

***

# Er3Bi2Se PBE relaxed
# **Magnetization**: 0.00 Bohr magnetons per cell
data_Er3Bi2Se
_space_group_name_H-M_alt 'P -3 m 1'
_space_group_IT_number 164
_space_group_name_Hall '-P 3 2"'
_cell_length_a 4.3040
_cell_length_b 4.3040
_cell_length_c 10.5175
_cell_angle_alpha 90.00
_cell_angle_beta 90.00
_cell_angle_gamma 120.00
loop_
_atom_site_label
_atom_site_type_symbol
_atom_site_fract_x
_atom_site_fract_y
_atom_site_fract_z
_atom_site_occupancy
Er1 Er 0.0000 0.0000 0.0000 1
Er2 Er 0.3333 0.6667 0.6475 1
Bi1 Bi 0.3333 0.6667 0.1766 1
Se1 Se 0.0000 0.0000 0.5000 1

***

# Er3BiSe2 PBE relaxed
# **Magnetization**: 0.00 Bohr magnetons per cell
data_Er3BiSe2
_space_group_name_H-M_alt 'P -3 m 1'
_space_group_IT_number 164
_space_group_name_Hall '-P 3 2"'
_cell_length_a 4.1728
_cell_length_b 4.1728
_cell_length_c 10.1560
_cell_angle_alpha 90.00
_cell_angle_beta 90.00
_cell_angle_gamma 120.00
loop_
_atom_site_label
_atom_site_type_symbol
_atom_site_fract_x
_atom_site_fract_y
_atom_site_fract_z
_atom_site_occupancy
Er1 Er 0.0000 0.0000 0.0000 1
Er2 Er 0.3333 0.6667 0.6906 1
Bi1 Bi 0.0000 0.0000 0.5000 1
Se1 Se 0.3333 0.6667 0.1559 1

***

# Er4BiSe3 PBE relaxed
# **Magnetization**: 0.00 Bohr magnetons per cell
data_Er4BiSe3
_space_group_name_H-M_alt 'I 4/m m m'
_space_group_IT_number 139
_space_group_name_Hall '-I 4 2'
_cell_length_a 5.8749
_cell_length_b 5.8749
_cell_length_c 11.7012
_cell_angle_alpha 90.00
_cell_angle_beta 90.00
_cell_angle_gamma 90.00
loop_
_atom_site_label
_atom_site_type_symbol
_atom_site_fract_x
_atom_site_fract_y
_atom_site_fract_z
_atom_site_occupancy
Er1 Er 0.0000 0.0000 0.2391 1
Er2 Er 0.0000 0.5000 0.0000 1
Bi1 Bi 0.0000 0.0000 0.5000 1
Se1 Se 0.0000 0.0000 0.0000 1
Se2 Se 0.0000 0.5000 0.2500 1

***

# ErSiBi PBE relaxed
# **Magnetization**: 0.06 Bohr magnetons per cell
data_ErSiBi
_space_group_name_H-M_alt 'F -4 3 m'
_space_group_IT_number 216
_space_group_name_Hall 'F -4 2 3'
_cell_length_a 6.9278
_cell_length_b 6.9278
_cell_length_c 6.9278
_cell_angle_alpha 90.00
_cell_angle_beta 90.00
_cell_angle_gamma 90.00
loop_
_atom_site_label
_atom_site_type_symbol
_atom_site_fract_x
_atom_site_fract_y
_atom_site_fract_z
_atom_site_occupancy
Er1 Er 0.0000 0.0000 0.0000 1
Si1 Si 0.2500 0.2500 0.7500 1
Bi1 Bi 0.0000 0.0000 0.5000 1

***

# SmErBi PBE relaxed
# **Magnetization**: 0.13 Bohr magnetons per cell
data_SmErBi
_space_group_name_H-M_alt 'F -4 3 m'
_space_group_IT_number 216
_space_group_name_Hall 'F -4 2 3'
_cell_length_a 7.3490
_cell_length_b 7.3490
_cell_length_c 7.3490
_cell_angle_alpha 90.00
_cell_angle_beta 90.00
_cell_angle_gamma 90.00
loop_
_atom_site_label
_atom_site_type_symbol
_atom_site_fract_x
_atom_site_fract_y
_atom_site_fract_z
_atom_site_occupancy
Sm1 Sm 0.0000 0.0000 0.0000 1
Er1 Er 0.0000 0.0000 0.5000 1
Bi1 Bi 0.2500 0.2500 0.7500 1

***

# ErSnBi PBE relaxed
# **Magnetization**: 0.01 Bohr magnetons per cell
data_ErSnBi
_space_group_name_H-M_alt 'F -4 3 m'
_space_group_IT_number 216
_space_group_name_Hall 'F -4 2 3'
_cell_length_a 7.3703
_cell_length_b 7.3703
_cell_length_c 7.3703
_cell_angle_alpha 90.00
_cell_angle_beta 90.00
_cell_angle_gamma 90.00
loop_
_atom_site_label
_atom_site_type_symbol
_atom_site_fract_x
_atom_site_fract_y
_atom_site_fract_z
_atom_site_occupancy
Er1 Er 0.0000 0.0000 0.0000 1
Sn1 Sn 0.2500 0.2500 0.7500 1
Bi1 Bi 0.0000 0.0000 0.5000 1

***

# TbEr2Bi3 PBE relaxed
# **Magnetization**: 0.00 Bohr magnetons per cell
data_TbEr2Bi3
_space_group_name_H-M_alt 'P -3 m 1'
_space_group_IT_number 164
_space_group_name_Hall '-P 3 2"'
_cell_length_a 4.4470
_cell_length_b 4.4470
_cell_length_c 10.9197
_cell_angle_alpha 90.00
_cell_angle_beta 90.00
_cell_angle_gamma 120.00
loop_
_atom_site_label
_atom_site_type_symbol
_atom_site_fract_x
_atom_site_fract_y
_atom_site_fract_z
_atom_site_occupancy
Tb1 Tb 0.0000 0.0000 0.0000 1
Er1 Er 0.3333 0.6667 0.3335 1
Bi1 Bi 0.0000 0.0000 0.5000 1
Bi2 Bi 0.3333 0.6667 0.8315 1

***

# ErBiTe PBE relaxed
# **Magnetization**: 0.03 Bohr magnetons per cell
data_ErBiTe
_space_group_name_H-M_alt 'F -4 3 m'
_space_group_IT_number 216
_space_group_name_Hall 'F -4 2 3'
_cell_length_a 7.3514
_cell_length_b 7.3514
_cell_length_c 7.3514
_cell_angle_alpha 90.00
_cell_angle_beta 90.00
_cell_angle_gamma 90.00
loop_
_atom_site_label
_atom_site_type_symbol
_atom_site_fract_x
_atom_site_fract_y
_atom_site_fract_z
_atom_site_occupancy
Er1 Er 0.0000 0.0000 0.0000 1
Bi1 Bi 0.0000 0.0000 0.5000 1
Te1 Te 0.2500 0.2500 0.7500 1

***

# Er5Bi4Te PBE relaxed
# **Magnetization**: 0.00 Bohr magnetons per cell
data_Er5Bi4Te
_space_group_name_H-M_alt 'I 4/m'
_space_group_IT_number 87
_space_group_name_Hall '-I 4'
_cell_length_a 9.8657
_cell_length_b 9.8657
_cell_length_c 6.2383
_cell_angle_alpha 90.00
_cell_angle_beta 90.00
_cell_angle_gamma 90.00
loop_
_atom_site_label
_atom_site_type_symbol
_atom_site_fract_x
_atom_site_fract_y
_atom_site_fract_z
_atom_site_occupancy
Er1 Er 0.0000 0.0000 0.0000 1
Er2 Er 0.1007 0.3017 0.5000 1
Bi1 Bi 0.1004 0.2990 0.0000 1
Te1 Te 0.0000 0.0000 0.5000 1

***

# Er5ThBi6 PBE relaxed
# **Magnetization**: 0.00 Bohr magnetons per cell
data_Er5ThBi6
_space_group_name_H-M_alt 'C 1 2/m 1'
_space_group_IT_number 12
_cell_length_a 7.7405
_cell_length_b 13.4037
_cell_length_c 7.7457
_cell_angle_alpha 90.00
_cell_angle_beta 109.50
_cell_angle_gamma 90.00
loop_
_space_group_symop_operation_xyz
'x,y,z'
'-x,-y,-z'
'-x,y,-z'
'x,-y,z'
'x+1/2,y+1/2,z'
'-x+1/2,-y+1/2,-z'
'-x+1/2,y+1/2,-z'
'x+1/2,-y+1/2,z'
loop_
_atom_site_label
_atom_site_type_symbol
_atom_site_fract_x
_atom_site_fract_y
_atom_site_fract_z
_atom_site_occupancy
Er1 Er 0.0000 0.0000 0.0000 1
Er2 Er 0.0000 0.1677 0.5000 1
Er3 Er 0.0000 0.3364 0.0000 1
Th1 Th 0.0000 0.5000 0.5000 1
Bi1 Bi 0.2437 0.0000 0.7511 1
Bi2 Bi 0.2451 0.1696 0.2450 1

***

# ErTm5Bi6 PBE relaxed
# **Magnetization**: 0.00 Bohr magnetons per cell
data_ErTm5Bi6
_space_group_name_H-M_alt 'C 1 2/m 1'
_space_group_IT_number 12
_cell_length_a 7.6572
_cell_length_b 13.2600
_cell_length_c 7.6554
_cell_angle_alpha 90.00
_cell_angle_beta 109.47
_cell_angle_gamma 90.00
loop_
_space_group_symop_operation_xyz
'x,y,z'
'-x,-y,-z'
'-x,y,-z'
'x,-y,z'
'x+1/2,y+1/2,z'
'-x+1/2,-y+1/2,-z'
'-x+1/2,y+1/2,-z'
'x+1/2,-y+1/2,z'
loop_
_atom_site_label
_atom_site_type_symbol
_atom_site_fract_x
_atom_site_fract_y
_atom_site_fract_z
_atom_site_occupancy
Er1 Er 0.0000 0.0000 0.0000 1
Tm1 Tm 0.0000 0.1663 0.5000 1
Tm2 Tm 0.0000 0.3332 0.0000 1
Tm3 Tm 0.0000 0.5000 0.5000 1
Bi1 Bi 0.2495 0.3330 0.7495 1
Bi2 Bi 0.2493 0.5000 0.2501 1

***

# ErTm2Bi3 PBE relaxed
# **Magnetization**: 0.00 Bohr magnetons per cell
data_ErTm2Bi3
_space_group_name_H-M_alt 'P -3 m 1'
_space_group_IT_number 164
_space_group_name_Hall '-P 3 2"'
_cell_length_a 4.4192
_cell_length_b 4.4192
_cell_length_c 10.8957
_cell_angle_alpha 90.00
_cell_angle_beta 90.00
_cell_angle_gamma 120.00
loop_
_atom_site_label
_atom_site_type_symbol
_atom_site_fract_x
_atom_site_fract_y
_atom_site_fract_z
_atom_site_occupancy
Er1 Er 0.0000 0.0000 0.0000 1
Tm1 Tm 0.3333 0.6667 0.3333 1
Bi1 Bi 0.0000 0.0000 0.5000 1
Bi2 Bi 0.3333 0.6667 0.8332 1

***

# YErBi PBE relaxed
# **Magnetization**: 1.31 Bohr magnetons per cell
data_YErBi
_space_group_name_H-M_alt 'F -4 3 m'
_space_group_IT_number 216
_space_group_name_Hall 'F -4 2 3'
_cell_length_a 7.2791
_cell_length_b 7.2791
_cell_length_c 7.2791
_cell_angle_alpha 90.00
_cell_angle_beta 90.00
_cell_angle_gamma 90.00
loop_
_atom_site_label
_atom_site_type_symbol
_atom_site_fract_x
_atom_site_fract_y
_atom_site_fract_z
_atom_site_occupancy
Y1 Y 0.0000 0.0000 0.0000 1
Er1 Er 0.0000 0.0000 0.5000 1
Bi1 Bi 0.2500 0.2500 0.7500 1

***

# YEr5Bi6 PBE relaxed
# **Magnetization**: 0.00 Bohr magnetons per cell
data_YEr5Bi6
_space_group_name_H-M_alt 'C 1 2/m 1'
_space_group_IT_number 12
_cell_length_a 7.6908
_cell_length_b 13.3186
_cell_length_c 7.6884
_cell_angle_alpha 90.00
_cell_angle_beta 109.47
_cell_angle_gamma 90.00
loop_
_space_group_symop_operation_xyz
'x,y,z'
'-x,-y,-z'
'-x,y,-z'
'x,-y,z'
'x+1/2,y+1/2,z'
'-x+1/2,-y+1/2,-z'
'-x+1/2,y+1/2,-z'
'x+1/2,-y+1/2,z'
loop_
_atom_site_label
_atom_site_type_symbol
_atom_site_fract_x
_atom_site_fract_y
_atom_site_fract_z
_atom_site_occupancy
Y1 Y 0.0000 0.0000 0.0000 1
Er1 Er 0.0000 0.1658 0.5000 1
Er2 Er 0.0000 0.3329 0.0000 1
Er3 Er 0.0000 0.5000 0.5000 1
Bi1 Bi 0.2482 0.5000 0.2503 1
Bi2 Bi 0.2487 0.3325 0.7487 1

***

Here is an optimized crystal structure of HgBiO2F from the Open Quantum Materials Database. Energies are from PBE.

The structure in CIF format:
```
data_HgBiO2F
_space_group_name_H-M_alt 'P 1 21/m 1'
_space_group_IT_number 11
_cell_length_a 5.3869
_cell_length_b 4.2062
_cell_length_c 7.4124
_cell_angle_alpha 90.00
_cell_angle_beta 100.17
_cell_angle_gamma 90.00
loop_
_space_group_symop_operation_xyz
'x,y,z'
'-x,-y,-z'
'-x,y+1/2,-z'
'x,-y+1/2,z'
loop_
_atom_site_label
_atom_site_type_symbol
_atom_site_fract_x
_atom_site_fract_y
_atom_site_fract_z
_atom_site_occupancy
Hg1 Hg 0.2025 0.2500 0.4138 1
Bi1 Bi 0.2212 0.2500 0.9060 1
O1 O 0.0200 0.7500 0.3553 1
O2 O 0.0656 0.7500 0.9188 1
F1 F 0.4624 0.7500 0.7220 1
```

***

# HoBi2O4F PBE relaxed
# **Magnetization**: 0.00 Bohr magnetons per cell
data_HoBi2O4F
_space_group_name_H-M_alt 'P 4/m m m'
_space_group_IT_number 123
_space_group_name_Hall '-P 4 2'
_cell_length_a 3.7923
_cell_length_b 3.7923
_cell_length_c 8.4270
_cell_angle_alpha 90.00
_cell_angle_beta 90.00
_cell_angle_gamma 90.00
loop_
_atom_site_label
_atom_site_type_symbol
_atom_site_fract_x
_atom_site_fract_y
_atom_site_fract_z
_atom_site_occupancy
Ho1 Ho 0.0000 0.0000 0.0000 1
Bi1 Bi 0.5000 0.5000 0.2991 1
O1 O 0.0000 0.5000 0.1631 1
F1 F 0.0000 0.0000 0.5000 1

***

# NdBi2O4F PBE relaxed
# **Magnetization**: 0.00 Bohr magnetons per cell
data_NdBi2O4F
_space_group_name_H-M_alt 'P 4/m m m'
_space_group_IT_number 123
_space_group_name_Hall '-P 4 2'
_cell_length_a 3.8614
_cell_length_b 3.8614
_cell_length_c 8.6086
_cell_angle_alpha 90.00
_cell_angle_beta 90.00
_cell_angle_gamma 90.00
loop_
_atom_site_label
_atom_site_type_symbol
_atom_site_fract_x
_atom_site_fract_y
_atom_site_fract_z
_atom_site_occupancy
Nd1 Nd 0.0000 0.0000 0.0000 1
Bi1 Bi 0.5000 0.5000 0.3012 1
O1 O 0.0000 0.5000 0.1716 1
F1 F 0.0000 0.0000 0.5000 1

***

# PrBi2O4F PBE relaxed
# **Magnetization**: 0.00 Bohr magnetons per cell
data_PrBi2O4F
_space_group_name_H-M_alt 'P 4/m m m'
_space_group_IT_number 123
_space_group_name_Hall '-P 4 2'
_cell_length_a 3.8728
_cell_length_b 3.8728
_cell_length_c 8.6419
_cell_angle_alpha 90.00
_cell_angle_beta 90.00
_cell_angle_gamma 90.00
loop_
_atom_site_label
_atom_site_type_symbol
_atom_site_fract_x
_atom_site_fract_y
_atom_site_fract_z
_atom_site_occupancy
Pr1 Pr 0.0000 0.0000 0.0000 1
Bi1 Bi 0.5000 0.5000 0.3020 1
O1 O 0.0000 0.5000 0.1735 1
F1 F 0.0000 0.0000 0.5000 1

***

# TbBi2O4F PBE relaxed
# **Magnetization**: 0.00 Bohr magnetons per cell
data_TbBi2O4F
_space_group_name_H-M_alt 'P 4/m m m'
_space_group_IT_number 123
_space_group_name_Hall '-P 4 2'
_cell_length_a 3.8065
_cell_length_b 3.8065
_cell_length_c 8.4773
_cell_angle_alpha 90.00
_cell_angle_beta 90.00
_cell_angle_gamma 90.00
loop_
_atom_site_label
_atom_site_type_symbol
_atom_site_fract_x
_atom_site_fract_y
_atom_site_fract_z
_atom_site_occupancy
Tb1 Tb 0.0000 0.0000 0.0000 1
Bi1 Bi 0.5000 0.5000 0.2990 1
O1 O 0.0000 0.5000 0.1642 1
F1 F 0.0000 0.0000 0.5000 1

***

Final energy per entry: -5.90, -5.31, -5.50, -5.53, -4.75, -4.75, -4.29, -5.17, -4.16, -5.15, -5.34, -5.07, -5.09, -5.31, -5.31, -4.33, -6.48, -6.43, -6.41, -6.47 eV/atom